DFT (GGA-PBE) results for an optimized crystal structure of Ca2AuBr.

a b c (Å): 3.7037 3.8527 8.1678
angles (deg): 89.50 90.00 90.00
Closest atoms and distances in Å follow each position.
Fractional positions:
Ca: 0.0000 0.7532 0.0429  2 Br 3.03, 4 Au 3.16, 1 Ca 3.38
Ca: 0.0000 0.7468 0.4571  2 Br 3.03, 4 Au 3.16, 1 Ca 3.38
Au: 0.5000 0.2500 0.2500  8 Ca 3.16
Br: 0.5000 0.7500 0.7500  4 Ca 3.03

symmetry: P2/m
VASP energy: -3.317 eV/atom
density of states at the Fermi level: 0.492 states/eV per atom
theoretical density: 5.09 Mg/m³
excess energy over the best structure of this formula in the dataset: 30 meV/atom
raw formation energy: -1079 meV/atom